(1)
A geometry-optimized Sr3SnN structure, computed with PBE.

## Properties
D(E_F): 3.1 states/eV/f.u.
DFT total energy: -3.9453 eV/atom
Density: 4.13 g/cm³

abc: 9.675 10.465 7.870
angles: 90.00 23.50 90.00
Atoms (fractional coordinates):
Sr 0.859 0.921 0.923
Sr 0.141 0.079 0.077
N 0.370 0.750 0.386
Sr 0.462 0.250 0.115
N 0.630 0.250 0.614
Sn 0.776 0.250 0.170
Sr 0.141 0.421 0.077
Sr 0.859 0.579 0.923
Sn 0.224 0.750 0.830
Sr 0.538 0.750 0.885

=====

(2)
A geometry-optimized Dy8AsP3S4 structure, computed with PBE.

## Properties
D(E_F): 5.8 states/eV/f.u.
DFT total energy: -6.4890 eV/atom
Density: 7.45 g/cm³

abc: 7.958 7.951 7.958
angles: 120.03 120.00 90.00
Atoms (fractional coordinates):
S 0.000 0.000 0.500
S 0.500 0.000 0.000
Dy 0.257 0.255 0.006
As 0.000 0.500 0.000
S 0.500 0.000 0.500
S 0.000 0.000 0.000
Dy 0.749 0.255 0.498
Dy 0.251 0.745 0.994
Dy 0.253 0.259 0.506
P 0.000 0.500 0.500
Dy 0.251 0.745 0.502
Dy 0.749 0.255 0.006
Dy 0.743 0.745 0.994
P 0.500 0.500 0.000
P 0.500 0.500 0.500
Dy 0.747 0.741 0.494

=====

Among the records above, which one has the highest D(E_F)?
Dy8AsP3S4

=====

Which value of D(E_F) does entry 1 give?
3.1 states/eV/f.u.

=====

Which of these has the highest density?
Dy8AsP3S4